No. 1
A relaxed structure of NaNbRh2. Source: the Alexandria database, functional GGA-PBE.

Computed properties:
energy relative to the elements: -0.03 eV per atom
total magnetization: 0.00 μB/f.u.

Structure (CIF):
```
data_NaNbRh2
_chemical_formula_sum 'Na4 Nb4 Rh8'
_cell_length_a 6.334
_cell_length_b 6.334
_cell_length_c 6.334
_cell_angle_alpha 90.00
_cell_angle_beta 90.00
_cell_angle_gamma 90.00
_space_group_name_H-M_alt 'F m -3 m'
_space_group_IT_number 225
_space_group_name_Hall '-F 4 2 3'
loop_
_atom_site_label
_atom_site_fract_x
_atom_site_fract_y
_atom_site_fract_z
Na1 0.000 0.000 0.000
Nb1 0.000 0.000 0.500
Rh1 0.250 0.250 0.250
```

No. 2
A relaxed structure of KMg2Rh. Source: the Alexandria database, functional GGA-PBE.

Computed properties:
energy relative to the elements: 0.05 eV per atom
total magnetization: 0.00 μB/f.u.

Structure (CIF):
```
data_KMg2Rh
_chemical_formula_sum 'K2 Mg4 Rh2'
_cell_length_a 8.238
_cell_length_b 3.321
_cell_length_c 7.833
_cell_angle_alpha 90.00
_cell_angle_beta 97.19
_cell_angle_gamma 90.00
_space_group_name_H-M_alt 'C 1 2/m 1'
_space_group_IT_number 12
_space_group_name_Hall '-C 2y'
loop_
_atom_site_label
_atom_site_fract_x
_atom_site_fract_y
_atom_site_fract_z
K1 0.000 0.000 0.000
Mg1 0.222 0.000 0.647
Rh1 0.000 0.500 0.500
```

No. 3
A relaxed structure of SrTeH. Source: the Alexandria database, functional GGA-PBE.

Computed properties:
E_tot: -10.64 eV per formula unit
total magnetization: 0.00 μB/f.u.

Structure (CIF):
```
data_SrTeH
_chemical_formula_sum 'Sr4 Te4 H4'
_cell_length_a 6.226
_cell_length_b 6.225
_cell_length_c 8.584
_cell_angle_alpha 90.00
_cell_angle_beta 109.29
_cell_angle_gamma 90.00
_space_group_name_H-M_alt 'C 1 2/m 1'
_space_group_IT_number 12
_space_group_name_Hall '-C 2y'
loop_
_atom_site_label
_atom_site_fract_x
_atom_site_fract_y
_atom_site_fract_z
Sr1 0.180 0.000 0.333
Te1 0.108 0.500 0.170
H1 0.000 0.245 0.500
```

No. 4
A relaxed structure of Ba3SrSn2. Source: the Alexandria database, functional GGA-PBE.

Computed properties:
energy relative to the elements: -0.57 eV per atom
total magnetization: 0.00 μB/f.u.

Structure (CIF):
```
data_Ba3SrSn2
_chemical_formula_sum 'Ba12 Sr4 Sn8'
_cell_length_a 7.831
_cell_length_b 17.708
_cell_length_c 7.732
_cell_angle_alpha 90.00
_cell_angle_beta 90.00
_cell_angle_gamma 90.00
_space_group_name_H-M_alt 'I b a m'
_space_group_IT_number 72
_space_group_name_Hall '-I 2 2c'
loop_
_atom_site_label
_atom_site_fract_x
_atom_site_fract_y
_atom_site_fract_z
Ba1 0.000 0.000 0.250
Ba2 0.234 0.316 0.000
Sr1 0.000 0.500 0.250
Sn1 0.238 0.379 0.500
```

No. 5
A relaxed structure of ZrSi3. Source: the Alexandria database, functional GGA-PBE.

Computed properties:
total magnetization: 0.00 μB/f.u.
formation energy (no corrections): -195 meV per atom

Structure (CIF):
```
data_ZrSi3
_chemical_formula_sum 'Zr4 Si12'
_cell_length_a 3.709
_cell_length_b 3.709
_cell_length_c 19.235
_cell_angle_alpha 90.00
_cell_angle_beta 90.00
_cell_angle_gamma 90.00
_space_group_name_H-M_alt 'I 4/m m m'
_space_group_IT_number 139
_space_group_name_Hall '-I 4 2'
loop_
_atom_site_label
_atom_site_fract_x
_atom_site_fract_y
_atom_site_fract_z
Zr1 0.000 0.000 0.139
Si1 0.000 0.000 0.394
Si2 0.000 0.500 0.000
Si3 0.000 0.500 0.250
```

No. 6
A relaxed structure of CeTh2Ru. Source: the Alexandria database, functional GGA-PBE.

Computed properties:
energy relative to the elements: 0.11 eV per atom
total magnetization: 1.50 μB/f.u.

Structure (CIF):
```
data_CeTh2Ru
_chemical_formula_sum 'Ce3 Th6 Ru3'
_cell_length_a 3.7946
_cell_length_b 3.7946
_cell_length_c 30.4584
_cell_angle_alpha 90.00
_cell_angle_beta 90.00
_cell_angle_gamma 120.00
_space_group_name_H-M_alt 'R -3 m'
_space_group_IT_number 166
_space_group_name_Hall '-R 3 2"'
loop_
_atom_site_label
_atom_site_fract_x
_atom_site_fract_y
_atom_site_fract_z
Ce1 0.0000 0.0000 0.0000
Th1 0.0000 0.0000 0.1101
Ru1 0.0000 0.0000 0.5000
```

No. 7
A relaxed structure of RbTc2O8. Source: the Alexandria database, functional GGA-PBE.

Computed properties:
total magnetization: 1.07 μB/f.u.
formation energy (no corrections): -1299 meV per atom

Structure (CIF):
```
data_RbTc2O8
_chemical_formula_sum 'Rb2 Tc4 O16'
_cell_length_a 11.739
_cell_length_b 5.863
_cell_length_c 7.353
_cell_angle_alpha 90.00
_cell_angle_beta 115.93
_cell_angle_gamma 90.00
_space_group_name_H-M_alt 'C 1 2/m 1'
_space_group_IT_number 12
_space_group_name_Hall '-C 2y'
loop_
_atom_site_label
_atom_site_fract_x
_atom_site_fract_y
_atom_site_fract_z
Rb1 0.000 0.000 0.000
Tc1 0.213 0.000 0.711
O1 0.124 0.500 0.205
O2 0.136 0.000 0.447
O3 0.168 0.242 0.802
```

No. 8
A relaxed structure of GaHgPb5. Source: the Alexandria database, functional GGA-PBE.

Computed properties:
energy relative to the elements: 0.05 eV per atom
total magnetization: 0.00 μB/f.u.

Structure (CIF):
```
data_GaHgPb5
_chemical_formula_sum 'Ga1 Hg1 Pb5'
_cell_length_a 4.966
_cell_length_b 4.966
_cell_length_c 8.585
_cell_angle_alpha 90.00
_cell_angle_beta 90.00
_cell_angle_gamma 90.00
_space_group_name_H-M_alt 'P 4/m m m'
_space_group_IT_number 123
_space_group_name_Hall '-P 4 2'
loop_
_atom_site_label
_atom_site_fract_x
_atom_site_fract_y
_atom_site_fract_z
Ga1 0.000 0.000 0.000
Hg1 0.000 0.000 0.500
Pb1 0.000 0.500 0.213
Pb2 0.500 0.500 0.500
```